DFT (GGA-PBE) results for a relaxed structure of YSiAs2Se.

Unit cell a=5.4082 b=5.4082 c=5.3633 alpha=90.00 beta=90.00 gamma=90.00
Space group P4/mmm (No. 123)
Inequivalent atoms, fractional coordinates:
Y  0.0000  0.0000  0.0000 x1
Si  0.5000  0.5000  0.5000 x1
As  0.0000  0.5000  0.0000 x2
Se  0.0000  0.0000  0.5000 x1

E: -4.3627 eV per atom
mass density: 3.7 g cm⁻³
formation energy from raw total energies: 0.57 eV/atom